Record 1
5
Lattice="5.805 0.000 0.000 0.000 5.805 0.000 0.000 0.000 4.466" Properties=species:S:1:pos:R:3 comment="PBEsol RbCd2PtF, optimized geometry" formation_energy_uncorrected_ev_per_atom=0.568 magnetic_moment_mub_per_fu=0.002 energy_ev_per_atom=-1.89 pbc="T T T"
Rb 0.000 0.000 0.000
Cd 0.000 2.902 0.000
Cd 2.902 0.000 0.000
Pt 2.902 2.902 2.233
F 0.000 0.000 2.233

=====

Record 2
5
Lattice="3.926 0.000 0.000 0.000 3.926 0.000 0.000 0.000 5.986" Properties=species:S:1:pos:R:3 comment="PBEsol CdPtSF2, optimized geometry" formation_energy_uncorrected_ev_per_atom=-0.411 magnetic_moment_mub_per_fu=0.671 energy_ev_per_atom=-3.69 pbc="T T T"
Cd 0.000 0.000 0.000
Pt 0.000 0.000 2.993
S 1.963 1.963 2.993
F 0.000 1.963 0.000
F 1.963 0.000 0.000

=====

Record 3
5
Lattice="5.294 0.000 0.000 0.000 5.294 0.000 0.000 0.000 4.301" Properties=species:S:1:pos:R:3 comment="PBEsol SrCdPt2F, optimized geometry" formation_energy_uncorrected_ev_per_atom=0.134 magnetic_moment_mub_per_fu=0.000 energy_ev_per_atom=-3.64 pbc="T T T"
Sr 0.000 0.000 0.000
Cd 2.647 2.647 2.151
Pt 0.000 2.647 0.000
Pt 2.647 0.000 0.000
F 0.000 0.000 2.151

=====

Record 4
5
Lattice="4.745 0.000 0.000 0.000 4.745 0.000 0.000 0.000 4.626" Properties=species:S:1:pos:R:3 comment="PBEsol SrCd2PtF, optimized geometry" formation_energy_uncorrected_ev_per_atom=-0.740 magnetic_moment_mub_per_fu=0.000 energy_ev_per_atom=-3.37 pbc="T T T"
Sr 0.000 0.000 0.000
Cd 0.000 2.372 2.313
Cd 2.372 0.000 2.313
Pt 2.372 2.372 0.000
F 0.000 0.000 2.313

=====

Record 5
5
Lattice="6.902 0.000 0.000 0.000 6.902 0.000 0.000 0.000 6.902" Properties=species:S:1:pos:R:3 comment="PBEsol RbCd3F, optimized geometry" formation_energy_uncorrected_ev_per_atom=0.327 magnetic_moment_mub_per_fu=0.157 energy_ev_per_atom=-0.98 pbc="T T T"
Rb 0.000 0.000 0.000
Cd 0.000 0.000 3.451
Cd 0.000 3.451 0.000
Cd 3.451 0.000 0.000
F 3.451 3.451 3.451

=====

Record 6
5
Lattice="5.679 0.000 0.000 0.000 5.679 0.000 0.000 0.000 5.679" Properties=species:S:1:pos:R:3 comment="PBEsol Rb3CdF, optimized geometry" formation_energy_uncorrected_ev_per_atom=-0.988 magnetic_moment_mub_per_fu=0.000 energy_ev_per_atom=-2.23 pbc="T T T"
Rb 0.000 0.000 2.840
Rb 0.000 2.840 0.000
Rb 2.840 0.000 0.000
Cd 2.840 2.840 2.840
F 0.000 0.000 0.000